(1)
Compound: KTcSb2I
Source: Alexandria
Functional: SCAN
Structure: single point on PBEsol structure

a b c (Å): 5.7358 5.7358 5.8192
angles (deg): 90.00 90.00 90.00
Last column: nearest neighbours and their distance in Å.
Positions (direct):
K 0.0000 0.0000 0.0000  4 Sb 2.87, 2 I 2.91
Tc 0.5000 0.5000 0.5000  4 I 4.06, 8 Sb 4.09
Sb 0.0000 0.5000 0.0000  2 K 2.87
Sb 0.5000 0.0000 0.0000  2 K 2.87
I 0.0000 0.0000 0.5000  2 K 2.91

## Properties
- energy relative to the elements, uncorrected (eV per atom) = 1.6729
- crystal system = tetragonal
- magnetic moment (μB per formula unit) = 3.6

=====

(2)
Compound: CdCo3S
Source: Alexandria
Functional: SCAN
Structure: single point on PBEsol structure

a b c (Å): 4.6121 4.6121 4.6121
angles (deg): 90.00 90.00 90.00
Last column: nearest neighbours and their distance in Å.
Positions (direct):
Cd 0.0000 0.0000 0.0000  6 Co 2.31
Co 0.0000 0.0000 0.5000  2 Cd 2.31
Co 0.0000 0.5000 0.0000  2 Cd 2.31
Co 0.5000 0.0000 0.0000  2 Cd 2.31
S 0.5000 0.5000 0.5000  12 Co 3.26

## Properties
- energy relative to the elements, uncorrected (eV per atom) = 1.4741
- crystal system = cubic
- magnetic moment (μB per formula unit) = 5.7